1.
Here is a relaxed CeThTl crystal from Alexandria via LeMat-Bulk. Energies are from PBE.

Polymorph energy (0 for the lowest one): 0.00 eV per formula unit
Formation energy from the elements: -82 meV per atom
Raw total energy: -31.93 eV/cell

Lattice parameters (Å, degrees): 4.1500 5.1145 8.5598 87.41 104.03 90.00
Fractional positions:
Ce 0.2442 0.6790 0.4884
Ce 0.7558 0.3210 0.5116
Th 0.4300 0.2466 0.8601
Th 0.5700 0.7534 0.1399
Tl 0.1022 0.2401 0.2044
Tl 0.8978 0.7599 0.7956

2.
Here is a relaxed Ce3Th12Tl5 crystal from Alexandria via LeMat-Bulk. Energies are from PBE.

Formation energy from the elements: 729 meV per atom
Raw total energy: -416.35 eV/cell

Lattice parameters (Å, degrees): 15.8259 15.8259 15.8259 109.47 109.47 109.47
Fractional positions:
Ce 0.7500 0.3750 0.1250
Ce 0.8750 0.7500 0.1250
Ce 0.3750 0.7500 0.6250
Ce 0.2500 0.1250 0.3750
Ce 0.8750 0.1250 0.2500
Ce 0.3750 0.6250 0.2500
Ce 0.6250 0.3750 0.7500
Ce 0.1250 0.8750 0.7500
Ce 0.7500 0.8750 0.6250
Ce 0.6250 0.2500 0.3750
Ce 0.1250 0.2500 0.8750
Ce 0.2500 0.6250 0.8750
Tl 0.1250 0.3750 0.2500
Tl 0.0000 0.5000 0.0000
Tl 0.0000 0.0000 0.0000
Tl 0.3750 0.2500 0.1250
Tl 0.5000 0.0000 0.5000
Tl 0.5000 0.5000 0.0000
Tl 0.1250 0.7500 0.3750
Tl 0.7500 0.1250 0.8750
Tl 0.7500 0.6250 0.3750
Tl 0.3750 0.1250 0.7500
Tl 0.6250 0.8750 0.2500
Tl 0.5000 0.5000 0.5000
Tl 0.5000 0.0000 0.0000
Tl 0.0000 0.0000 0.5000
Tl 0.2500 0.3750 0.6250
Tl 0.2500 0.8750 0.1250
Tl 0.0000 0.5000 0.5000
Tl 0.8750 0.2500 0.6250
Tl 0.6250 0.7500 0.8750
Tl 0.8750 0.6250 0.7500
Th 0.7324 0.1292 0.0661
Th 0.3337 0.5661 0.4369
Th 0.9339 0.3708 0.2676
Th 0.5661 0.2324 0.1292
Th 0.6033 0.7324 0.6663
Th 0.9339 0.5631 0.1663
Th 0.3337 0.7676 0.3967
Th 0.0631 0.8967 0.1292
Th 0.5631 0.9339 0.6663
Th 0.7324 0.6033 0.1663
Th 0.7676 0.4339 0.3708
Th 0.8337 0.9369 0.0661
Th 0.1292 0.7324 0.5661
Th 0.3708 0.4369 0.1033
Th 0.1033 0.9369 0.3708
Th 0.3967 0.1292 0.5631
Th 0.1033 0.1663 0.2324
Th 0.4339 0.6663 0.0631
Th 0.8337 0.8967 0.2676
Th 0.1292 0.3967 0.0631
Th 0.3708 0.9339 0.7676
Th 0.5631 0.6292 0.3967
Th 0.9369 0.8337 0.5661
Th 0.7676 0.3337 0.8967
Th 0.4369 0.3708 0.6033
Th 0.0631 0.1663 0.4339
Th 0.2324 0.6663 0.1033
Th 0.1663 0.1033 0.7324
Th 0.6292 0.0661 0.2324
Th 0.8708 0.6033 0.9369
Th 0.5661 0.3337 0.9369
Th 0.6033 0.8708 0.4369
Th 0.8967 0.8337 0.7676
Th 0.8967 0.0631 0.6292
Th 0.8708 0.2676 0.4339
Th 0.1663 0.0631 0.9339
Th 0.6292 0.5631 0.8967
Th 0.4369 0.0661 0.3337
Th 0.2676 0.3967 0.8337
Th 0.2324 0.5661 0.6292
Th 0.9369 0.1033 0.8708
Th 0.6663 0.2324 0.6033
Th 0.4339 0.7676 0.8708
Th 0.0661 0.4369 0.8337
Th 0.3967 0.2676 0.3337
Th 0.0661 0.6292 0.7324
Th 0.6663 0.4339 0.5631
Th 0.2676 0.8708 0.9339

3.
Here is a relaxed CeTh6Tl5 crystal from Alexandria via LeMat-Bulk. Energies are from PBE.

Formation energy from the elements: -68 meV per atom
Raw total energy: -63.10 eV/cell

Lattice parameters (Å, degrees): 5.7162 7.2182 9.0918 90.00 71.68 90.00
Each line ends with the local moment (μB).
Fractional positions:
Tl 0.6678 0.5000 0.6644  0.00
Tl 0.3392 0.0000 0.3215  0.00
Tl 0.0000 0.5000 0.0000  0.00
Tl 0.6608 0.0000 0.6785  0.00
Tl 0.3322 0.5000 0.3356  0.00
Th 0.8324 0.7482 0.3351  0.02
Th 0.8324 0.2518 0.3351  0.02
Th 0.5000 0.2542 0.0000  0.03
Th 0.5000 0.7458 0.0000  0.03
Th 0.1676 0.7482 0.6649  0.02
Th 0.1676 0.2518 0.6649  0.02
Ce 0.0000 0.0000 0.0000  0.43

4.
Here is a relaxed CeTh2Tl3 crystal from Alexandria via LeMat-Bulk. Energies are from PBE.

Formation energy from the elements: -178 meV per atom
Raw total energy: -28.94 eV/cell

Lattice parameters (Å, degrees): 3.5417 3.5417 13.9025 90.00 90.00 90.00
Each line ends with the local moment (μB).
Fractional positions:
Ce 0.5000 0.5000 0.5000  0.94
Th 0.5000 0.5000 0.8334  -0.02
Th 0.5000 0.5000 0.1666  -0.02
Tl 0.0000 0.0000 0.0000  0.01
Tl 0.0000 0.0000 0.6646  -0.01
Tl 0.0000 0.0000 0.3354  -0.01

5.
Here is a relaxed Ce9Th4Tl11 crystal from Alexandria via LeMat-Bulk. Energies are from PBE.

Formation energy from the elements: -146 meV per atom
Raw total energy: -112.62 eV/cell

Lattice parameters (Å, degrees): 3.4621 15.8804 15.8804 127.44 90.00 90.00
Each line ends with the local moment (μB).
Fractional positions:
Ce 0.5000 0.6279 0.1253  0.94
Ce 0.5000 0.3721 0.8747  0.94
Ce 0.5000 0.1253 0.6279  0.94
Ce 0.5000 0.8747 0.3721  0.94
Ce 0.5000 0.7891 0.9510  0.92
Ce 0.5000 0.2109 0.0490  0.92
Ce 0.5000 0.9510 0.7891  0.92
Ce 0.5000 0.0490 0.2109  0.92
Ce 0.5000 0.5000 0.5000  -0.56
Th 0.5000 0.5366 0.7170  -0.06
Th 0.5000 0.4634 0.2830  -0.06
Th 0.5000 0.7170 0.5366  -0.06
Th 0.5000 0.2830 0.4634  -0.06
Tl 0.0000 0.5850 0.9229  -0.01
Tl 0.0000 0.4150 0.0771  -0.01
Tl 0.0000 0.9229 0.5850  -0.01
Tl 0.0000 0.0771 0.4150  -0.01
Tl 0.0000 0.6715 0.3285  -0.01
Tl 0.0000 0.3285 0.6715  -0.01
Tl 0.0000 0.8362 0.1638  -0.01
Tl 0.0000 0.1638 0.8362  -0.01
Tl 0.0000 0.0000 0.0000  0.00
Tl 0.0000 0.7294 0.7294  -0.01
Tl 0.0000 0.2706 0.2706  -0.01

6.
Here is a relaxed Ce2ThTl9 crystal from Alexandria via LeMat-Bulk. Energies are from PBE.

Formation energy from the elements: -214 meV per atom
Raw total energy: -43.15 eV/cell

Lattice parameters (Å, degrees): 4.8258 4.8258 14.5062 90.00 90.00 90.00
Each line ends with the local moment (μB).
Fractional positions:
Ce 0.0000 0.0000 0.3325  0.90
Ce 0.0000 0.0000 0.6675  0.90
Th 0.0000 0.0000 0.0000  0.01
Tl 0.5000 0.5000 0.0000  0.00
Tl 0.5000 0.5000 0.3349  0.01
Tl 0.5000 0.5000 0.6651  0.01
Tl 0.5000 0.0000 0.1683  0.01
Tl 0.5000 0.0000 0.5000  0.01
Tl 0.5000 0.0000 0.8317  0.01
Tl 0.0000 0.5000 0.1683  0.01
Tl 0.0000 0.5000 0.5000  0.01
Tl 0.0000 0.5000 0.8317  0.01

7.
Here is a relaxed Ce4Th5Tl2 crystal from Alexandria via LeMat-Bulk. Energies are from PBE.

Formation energy from the elements: 229 meV per atom
Raw total energy: -63.05 eV/cell

Lattice parameters (Å, degrees): 3.3250 9.0302 12.2506 111.63 97.80 90.00
Fractional positions:
Ce 0.0000 0.3112 0.0000
Ce 0.5862 0.5862 0.1723
Ce 0.0000 0.6888 0.0000
Ce 0.4138 0.4138 0.8277
Th 0.8496 0.0441 0.6992
Th 0.8496 0.6552 0.6992
Th 0.1504 0.3448 0.3008
Th 0.1504 0.9559 0.3008
Th 0.5000 0.0000 0.0000
Tl 0.2745 0.2745 0.5490
Tl 0.7255 0.7255 0.4510

8.
Here is a relaxed CeTh6Tl crystal from Alexandria via LeMat-Bulk. Energies are from PBE.

Formation energy from the elements: 26 meV per atom
Raw total energy: -52.61 eV/cell

Lattice parameters (Å, degrees): 4.9334 4.9334 10.2438 90.00 90.00 90.00
Fractional positions:
Ce 0.0000 0.0000 0.5000
Th 0.5000 0.5000 0.0000
Th 0.5000 0.5000 0.5000
Th 0.5000 0.0000 0.2488
Th 0.5000 0.0000 0.7512
Th 0.0000 0.5000 0.2488
Th 0.0000 0.5000 0.7512
Tl 0.0000 0.0000 0.0000

The lowest raw total energy belongs to which entry? Ce3Th12Tl5

Repeat the second record exactly.
Here is a relaxed Ce3Th12Tl5 crystal from Alexandria via LeMat-Bulk. Energies are from PBE.

Formation energy from the elements: 729 meV per atom
Raw total energy: -416.35 eV/cell

Lattice parameters (Å, degrees): 15.8259 15.8259 15.8259 109.47 109.47 109.47
Fractional positions:
Ce 0.7500 0.3750 0.1250
Ce 0.8750 0.7500 0.1250
Ce 0.3750 0.7500 0.6250
Ce 0.2500 0.1250 0.3750
Ce 0.8750 0.1250 0.2500
Ce 0.3750 0.6250 0.2500
Ce 0.6250 0.3750 0.7500
Ce 0.1250 0.8750 0.7500
Ce 0.7500 0.8750 0.6250
Ce 0.6250 0.2500 0.3750
Ce 0.1250 0.2500 0.8750
Ce 0.2500 0.6250 0.8750
Tl 0.1250 0.3750 0.2500
Tl 0.0000 0.5000 0.0000
Tl 0.0000 0.0000 0.0000
Tl 0.3750 0.2500 0.1250
Tl 0.5000 0.0000 0.5000
Tl 0.5000 0.5000 0.0000
Tl 0.1250 0.7500 0.3750
Tl 0.7500 0.1250 0.8750
Tl 0.7500 0.6250 0.3750
Tl 0.3750 0.1250 0.7500
Tl 0.6250 0.8750 0.2500
Tl 0.5000 0.5000 0.5000
Tl 0.5000 0.0000 0.0000
Tl 0.0000 0.0000 0.5000
Tl 0.2500 0.3750 0.6250
Tl 0.2500 0.8750 0.1250
Tl 0.0000 0.5000 0.5000
Tl 0.8750 0.2500 0.6250
Tl 0.6250 0.7500 0.8750
Tl 0.8750 0.6250 0.7500
Th 0.7324 0.1292 0.0661
Th 0.3337 0.5661 0.4369
Th 0.9339 0.3708 0.2676
Th 0.5661 0.2324 0.1292
Th 0.6033 0.7324 0.6663
Th 0.9339 0.5631 0.1663
Th 0.3337 0.7676 0.3967
Th 0.0631 0.8967 0.1292
Th 0.5631 0.9339 0.6663
Th 0.7324 0.6033 0.1663
Th 0.7676 0.4339 0.3708
Th 0.8337 0.9369 0.0661
Th 0.1292 0.7324 0.5661
Th 0.3708 0.4369 0.1033
Th 0.1033 0.9369 0.3708
Th 0.3967 0.1292 0.5631
Th 0.1033 0.1663 0.2324
Th 0.4339 0.6663 0.0631
Th 0.8337 0.8967 0.2676
Th 0.1292 0.3967 0.0631
Th 0.3708 0.9339 0.7676
Th 0.5631 0.6292 0.3967
Th 0.9369 0.8337 0.5661
Th 0.7676 0.3337 0.8967
Th 0.4369 0.3708 0.6033
Th 0.0631 0.1663 0.4339
Th 0.2324 0.6663 0.1033
Th 0.1663 0.1033 0.7324
Th 0.6292 0.0661 0.2324
Th 0.8708 0.6033 0.9369
Th 0.5661 0.3337 0.9369
Th 0.6033 0.8708 0.4369
Th 0.8967 0.8337 0.7676
Th 0.8967 0.0631 0.6292
Th 0.8708 0.2676 0.4339
Th 0.1663 0.0631 0.9339
Th 0.6292 0.5631 0.8967
Th 0.4369 0.0661 0.3337
Th 0.2676 0.3967 0.8337
Th 0.2324 0.5661 0.6292
Th 0.9369 0.1033 0.8708
Th 0.6663 0.2324 0.6033
Th 0.4339 0.7676 0.8708
Th 0.0661 0.4369 0.8337
Th 0.3967 0.2676 0.3337
Th 0.0661 0.6292 0.7324
Th 0.6663 0.4339 0.5631
Th 0.2676 0.8708 0.9339

Which value of formation energy from the elements does entry 2 give? 729 meV per atom